## RbCd2SnBr8 (PBE)

Data for crystalline RbCd2SnBr8 at its relaxed geometry.

Output
- volume (Å³/f.u.) = 473.02
- total magnetization (μB/f.u.) = 0.00
- total DFT energy (no corrections) (eV/atom) = -2.4729

Unit cell a=10.326 b=10.326 c=8.872 alpha=90.00 beta=90.00 gamma=90.00
Space group I-4m2 (No. 119)
Asymmetric unit:
Rb  0.000  0.000  0.000 (multiplicity 2)
Cd  0.000  0.000  0.500 (multiplicity 2)
Cd  0.000  0.500  0.750 (multiplicity 2)
Sn  0.000  0.500  0.250 (multiplicity 2)
Br  0.000  0.206  0.323 (multiplicity 8)
Br  0.000  0.326  0.966 (multiplicity 8)